(1)
# SrCrN (PBE, relaxed)
# uncorrected formation energy: 1.1 eV/f.u.
# energy: -6.191 eV per atom
# density of states at the Fermi level: 2.38 states/eV per cell
data_SrCrN
_cell_length_a 3.360
_cell_length_b 3.360
_cell_length_c 11.095
_cell_angle_alpha 90.00
_cell_angle_beta 90.00
_cell_angle_gamma 120.00
_symmetry_space_group_name_H-M 'P 1'
_symmetry_Int_Tables_number 1
loop_
_symmetry_equiv_pos_as_xyz
'x,y,z'
loop_
_atom_site_label
_atom_site_type_symbol
_atom_site_fract_x
_atom_site_fract_y
_atom_site_fract_z
Sr1 Sr 0.278 0.556 0.136
N1 N 0.611 0.222 0.000
Cr1 Cr 0.611 0.222 0.416
Cr2 Cr 0.611 0.222 0.584
N2 N 0.278 0.555 0.500
Sr2 Sr 0.278 0.556 0.864

(2)
# SrCr2N2 (PBE, relaxed)
# uncorrected formation energy: 0.0 eV/f.u.
# energy: -7.518 eV per atom
# polymorph energy (0 for the lowest one): 403 meV per atom
# density of states at the Fermi level: 1.26 states/eV per cell
data_SrCr2N2
_cell_length_a 3.927
_cell_length_b 3.927
_cell_length_c 4.744
_cell_angle_alpha 65.55
_cell_angle_beta 65.55
_cell_angle_gamma 90.00
_symmetry_space_group_name_H-M 'P 1'
_symmetry_Int_Tables_number 1
loop_
_symmetry_equiv_pos_as_xyz
'x,y,z'
loop_
_atom_site_label
_atom_site_type_symbol
_atom_site_fract_x
_atom_site_fract_y
_atom_site_fract_z
Sr1 Sr 0.000 0.000 0.000
N1 N 0.250 0.750 0.500
Cr1 Cr 0.354 0.354 0.291
N2 N 0.750 0.250 0.500
Cr2 Cr 0.646 0.646 0.709

(3)
# SrTb2CrN4 (PBE, relaxed)
# uncorrected formation energy: -9.4 eV/f.u.
# energy: -7.905 eV per atom
# density of states at the Fermi level: 3.97 states/eV per cell
data_SrTb2CrN4
_cell_length_a 3.451
_cell_length_b 6.221
_cell_length_c 11.767
_cell_angle_alpha 90.00
_cell_angle_beta 90.00
_cell_angle_gamma 106.10
_symmetry_space_group_name_H-M 'P 1'
_symmetry_Int_Tables_number 1
loop_
_symmetry_equiv_pos_as_xyz
'x,y,z'
loop_
_atom_site_label
_atom_site_type_symbol
_atom_site_fract_x
_atom_site_fract_y
_atom_site_fract_z
N1 N 0.740 0.480 0.877
N2 N 0.000 0.000 0.500
Tb1 Tb 0.630 0.260 0.042
Tb2 Tb 0.370 0.740 0.958
Tb3 Tb 0.630 0.260 0.458
N3 N 0.740 0.480 0.623
Sr1 Sr 0.909 0.818 0.250
N4 N 0.260 0.520 0.377
Sr2 Sr 0.091 0.182 0.750
Cr1 Cr 0.177 0.354 0.250
N5 N 0.402 0.805 0.750
Tb4 Tb 0.370 0.740 0.542
N6 N 0.000 0.000 0.000
N7 N 0.260 0.520 0.123
N8 N 0.598 0.195 0.250
Cr2 Cr 0.823 0.646 0.750

(4)
# Sr2CrTcN4 (PBE, relaxed)
# uncorrected formation energy: -4.9 eV/f.u.
# energy: -7.697 eV per atom
# density of states at the Fermi level: 7.02 states/eV per cell
data_Sr2CrTcN4
_cell_length_a 5.721
_cell_length_b 6.110
_cell_length_c 6.914
_cell_angle_alpha 90.00
_cell_angle_beta 90.00
_cell_angle_gamma 90.00
_symmetry_space_group_name_H-M 'P 1'
_symmetry_Int_Tables_number 1
loop_
_symmetry_equiv_pos_as_xyz
'x,y,z'
loop_
_atom_site_label
_atom_site_type_symbol
_atom_site_fract_x
_atom_site_fract_y
_atom_site_fract_z
N1 N 0.743 0.999 0.000
N2 N 0.257 0.999 0.000
Tc1 Tc 0.500 0.801 0.500
Sr1 Sr 0.500 0.253 0.748
N3 N 0.000 0.328 0.740
Sr2 Sr 0.000 0.747 0.752
Tc2 Tc 0.000 0.199 0.000
N4 N 0.757 0.001 0.500
Cr1 Cr 0.500 0.811 0.000
N5 N 0.243 0.001 0.500
N6 N 0.000 0.328 0.260
Sr3 Sr 0.000 0.747 0.248
N7 N 0.500 0.672 0.240
N8 N 0.500 0.672 0.760
Sr4 Sr 0.500 0.253 0.252
Cr2 Cr 0.000 0.189 0.500

(5)
# SrCrTe2N (PBE, relaxed)
# uncorrected formation energy: -2.4 eV/f.u.
# energy: -5.658 eV per atom
# polymorph energy (0 for the lowest one): 0 meV per atom
# density of states at the Fermi level: 1.91 states/eV per cell
data_SrCrTe2N
_cell_length_a 5.693
_cell_length_b 5.693
_cell_length_c 3.654
_cell_angle_alpha 90.00
_cell_angle_beta 90.00
_cell_angle_gamma 90.00
_symmetry_space_group_name_H-M 'P 1'
_symmetry_Int_Tables_number 1
loop_
_symmetry_equiv_pos_as_xyz
'x,y,z'
loop_
_atom_site_label
_atom_site_type_symbol
_atom_site_fract_x
_atom_site_fract_y
_atom_site_fract_z
N1 N 0.000 0.000 0.500
Sr1 Sr 0.500 0.500 0.500
Cr1 Cr 0.000 0.000 0.000
Te1 Te 0.000 0.500 0.000
Te2 Te 0.500 0.000 0.000

(6)
# SrCrTe2N (PBE, relaxed)
# uncorrected formation energy: 3.6 eV/f.u.
# energy: -4.466 eV per atom
# polymorph energy (0 for the lowest one): 1193 meV per atom
# density of states at the Fermi level: 5.06 states/eV per cell
data_SrCrTe2N
_cell_length_a 4.894
_cell_length_b 4.767
_cell_length_c 4.894
_cell_angle_alpha 90.00
_cell_angle_beta 90.00
_cell_angle_gamma 90.00
_symmetry_space_group_name_H-M 'P 1'
_symmetry_Int_Tables_number 1
loop_
_symmetry_equiv_pos_as_xyz
'x,y,z'
loop_
_atom_site_label
_atom_site_type_symbol
_atom_site_fract_x
_atom_site_fract_y
_atom_site_fract_z
Sr1 Sr 0.000 0.500 0.000
N1 N 0.000 0.000 0.000
Cr1 Cr 0.500 0.500 0.500
Te1 Te 0.000 0.000 0.500
Te2 Te 0.500 0.000 0.000